# CuSn2I (PBE-GGA, optimized geometry)
data_CuSn2I
_chemical_formula_sum 'Cu2 Sn4 I2'
_symmetry_space_group_name_H-M 'P 1'
_symmetry_Int_Tables_number 1
_cell_length_a 6.589
_cell_length_b 6.589
_cell_length_c 7.909
_cell_angle_alpha 65.38
_cell_angle_beta 65.38
_cell_angle_gamma 90.00
loop_
_symmetry_equiv_pos_as_xyz
'x,y,z'
loop_
_atom_site_label
_atom_site_fract_x
_atom_site_fract_y
_atom_site_fract_z
_atom_site_occupancy
Sn1 0.875 0.773 0.750 1
Sn2 0.227 0.625 0.250 1
Sn3 0.523 0.125 0.250 1
Sn4 0.375 0.477 0.750 1
Cu1 0.250 0.750 0.500 1
Cu2 0.500 0.500 0.000 1
I1 0.750 0.250 0.500 1
I2 0.000 0.000 0.000 1
# Excess energy over the best structure of this formula in the dataset (meV per atom): 186
# VASP energy (eV/atom): -3.236
# Uncorrected formation energy (kJ per mole of atoms): 17

=====

# Pm5V3As12 (PBE-GGA, optimized geometry)
data_Pm5V3As12
_chemical_formula_sum 'Pm20 V12 As48'
_symmetry_space_group_name_H-M 'P 1'
_symmetry_Int_Tables_number 1
_cell_length_a 14.004
_cell_length_b 14.004
_cell_length_c 14.004
_cell_angle_alpha 109.47
_cell_angle_beta 109.47
_cell_angle_gamma 109.47
loop_
_symmetry_equiv_pos_as_xyz
'x,y,z'
loop_
_atom_site_label
_atom_site_fract_x
_atom_site_fract_y
_atom_site_fract_z
_atom_site_occupancy
Pm1 0.000 0.000 0.000 1
Pm2 0.125 0.375 0.250 1
Pm3 0.125 0.750 0.375 1
Pm4 0.375 0.125 0.750 1
Pm5 0.375 0.250 0.125 1
Pm6 0.750 0.625 0.375 1
Pm7 0.000 0.500 0.500 1
Pm8 0.750 0.125 0.875 1
Pm9 0.000 0.000 0.500 1
Pm10 0.250 0.875 0.125 1
Pm11 0.625 0.750 0.875 1
Pm12 0.500 0.000 0.500 1
Pm13 0.250 0.375 0.625 1
Pm14 0.625 0.875 0.250 1
Pm15 0.875 0.250 0.625 1
Pm16 0.000 0.500 0.000 1
Pm17 0.875 0.625 0.750 1
Pm18 0.500 0.500 0.000 1
Pm19 0.500 0.500 0.500 1
Pm20 0.500 0.000 0.000 1
As1 0.823 0.880 0.238 1
As2 0.177 0.057 0.916 1
As3 0.443 0.084 0.323 1
As4 0.238 0.858 0.916 1
As5 0.762 0.142 0.084 1
As6 0.738 0.323 0.880 1
As7 0.323 0.584 0.443 1
As8 0.262 0.677 0.120 1
As9 0.677 0.416 0.557 1
As10 0.262 0.584 0.642 1
As11 0.943 0.120 0.858 1
As12 0.858 0.238 0.416 1
As13 0.057 0.880 0.142 1
As14 0.120 0.943 0.358 1
As15 0.916 0.557 0.177 1
As16 0.620 0.858 0.443 1
As17 0.416 0.677 0.057 1
As18 0.323 0.738 0.380 1
As19 0.642 0.084 0.262 1
As20 0.358 0.443 0.120 1
As21 0.916 0.358 0.238 1
As22 0.620 0.762 0.677 1
As23 0.416 0.738 0.858 1
As24 0.358 0.916 0.738 1
As25 0.443 0.358 0.620 1
As26 0.380 0.142 0.557 1
As27 0.584 0.323 0.943 1
As28 0.557 0.642 0.380 1
As29 0.084 0.443 0.823 1
As30 0.762 0.620 0.177 1
As31 0.584 0.262 0.142 1
As32 0.677 0.262 0.620 1
As33 0.380 0.238 0.323 1
As34 0.880 0.057 0.642 1
As35 0.943 0.823 0.584 1
As36 0.880 0.823 0.738 1
As37 0.238 0.380 0.823 1
As38 0.084 0.642 0.762 1
As39 0.142 0.762 0.584 1
As40 0.057 0.177 0.416 1
As41 0.823 0.943 0.084 1
As42 0.557 0.916 0.677 1
As43 0.142 0.380 0.057 1
As44 0.642 0.557 0.880 1
As45 0.177 0.120 0.762 1
As46 0.738 0.416 0.358 1
As47 0.858 0.620 0.943 1
As48 0.120 0.177 0.262 1
V1 0.375 0.625 0.250 1
V2 0.750 0.875 0.625 1
V3 0.125 0.250 0.875 1
V4 0.750 0.375 0.125 1
V5 0.625 0.250 0.375 1
V6 0.875 0.125 0.250 1
V7 0.250 0.125 0.375 1
V8 0.625 0.375 0.750 1
V9 0.125 0.875 0.750 1
V10 0.250 0.625 0.875 1
V11 0.875 0.750 0.125 1
V12 0.375 0.750 0.625 1
# VASP energy (eV/atom): -5.661

=====

# Mg3AgAu2 (PBE-GGA, optimized geometry)
data_Mg3AgAu2
_chemical_formula_sum 'Mg3 Ag1 Au2'
_symmetry_space_group_name_H-M 'P 1'
_symmetry_Int_Tables_number 1
_cell_length_a 3.381
_cell_length_b 3.381
_cell_length_c 9.540
_cell_angle_alpha 90.00
_cell_angle_beta 90.00
_cell_angle_gamma 90.00
loop_
_symmetry_equiv_pos_as_xyz
'x,y,z'
loop_
_atom_site_label
_atom_site_fract_x
_atom_site_fract_y
_atom_site_fract_z
_atom_site_occupancy
Mg1 0.000 0.000 0.672 1
Mg2 0.000 0.000 0.328 1
Mg3 0.000 0.000 0.000 1
Au1 0.500 0.500 0.833 1
Au2 0.500 0.500 0.167 1
Ag1 0.500 0.500 0.500 1
# Excess energy over the best structure of this formula in the dataset (meV per atom): 11
# VASP energy (eV/atom): -2.857